(1)
Sr2CaAlOs: PBEsol geometry, meta-GGA SCAN.

Structure (CIF):
```
data_Sr2CaAlOs
_chemical_formula_sum 'Sr2 Ca1 Al1 Os1'
_symmetry_space_group_name_H-M 'P 4/m m m'
_symmetry_Int_Tables_number 123
_symmetry_space_group_name_Hall '-P 4 2'
_cell_length_a 5.6482
_cell_length_b 5.6482
_cell_length_c 5.4188
_cell_angle_alpha 90.00
_cell_angle_beta 90.00
_cell_angle_gamma 90.00
loop_
_atom_site_label
_atom_site_type_symbol
_atom_site_fract_x
_atom_site_fract_y
_atom_site_fract_z
Sr1 Sr 0.0000 0.5000 0.0000
Ca1 Ca 0.0000 0.0000 0.5000
Al1 Al 0.5000 0.5000 0.5000
Os1 Os 0.0000 0.0000 0.0000
```

Output
**Crystal system**: tetragonal
**Calculated volume**: 34.57 Å³ per atom
**Energy of formation**: 0.529 eV per atom
**Energy**: -26.241 eV per atom

(2)
Li2CaCr: PBEsol geometry, meta-GGA SCAN.

Structure (CIF):
```
data_Li2CaCr
_chemical_formula_sum 'Li8 Ca4 Cr4'
_symmetry_space_group_name_H-M 'F -4 3 m'
_symmetry_Int_Tables_number 216
_symmetry_space_group_name_Hall 'F -4 2 3'
_cell_length_a 7.1786
_cell_length_b 7.1786
_cell_length_c 7.1786
_cell_angle_alpha 90.00
_cell_angle_beta 90.00
_cell_angle_gamma 90.00
loop_
_atom_site_label
_atom_site_type_symbol
_atom_site_fract_x
_atom_site_fract_y
_atom_site_fract_z
Li1 Li 0.0000 0.0000 0.0000
Li2 Li 0.2500 0.2500 0.2500
Ca1 Ca 0.2500 0.2500 0.7500
Cr1 Cr 0.0000 0.0000 0.5000
```

Output
**Crystal system**: cubic
**E above lowest polymorph**: 3 meV per atom
**Calculated volume**: 23.12 Å³ per atom
**Energy of formation**: 0.243 eV per atom
**Energy**: -7.964 eV per atom

(3)
Sc2MoAu: PBEsol geometry, meta-GGA SCAN.

Structure (CIF):
```
data_Sc2MoAu
_chemical_formula_sum 'Sc4 Mo2 Au2'
_symmetry_space_group_name_H-M 'C 1 m 1'
_symmetry_Int_Tables_number 8
_cell_length_a 10.2704
_cell_length_b 3.1018
_cell_length_c 4.8667
_cell_angle_alpha 90.00
_cell_angle_beta 108.41
_cell_angle_gamma 90.00
loop_
_symmetry_equiv_pos_as_xyz
'x,y,z'
'x,-y,z'
'x+1/2,y+1/2,z'
'x+1/2,-y+1/2,z'
loop_
_atom_site_label
_atom_site_type_symbol
_atom_site_fract_x
_atom_site_fract_y
_atom_site_fract_z
Sc1 Sc 0.0000 0.0000 0.0000
Sc2 Sc 0.2205 0.0000 0.6219
Mo1 Mo 0.2509 0.5000 0.1356
Au1 Au 0.4779 0.0000 0.4983
```

Output
**Crystal system**: monoclinic
**E above lowest polymorph**: 0 meV per atom
**Calculated volume**: 18.39 Å³ per atom
**Energy of formation**: -0.259 eV per atom
**Energy**: -33.388 eV per atom

(4)
CdAgAs: PBEsol geometry, meta-GGA SCAN.

Structure (CIF):
```
data_CdAgAs
_chemical_formula_sum 'Cd1 Ag1 As1'
_symmetry_space_group_name_H-M 'P 1'
_symmetry_Int_Tables_number 1
_cell_length_a 2.9878
_cell_length_b 4.2194
_cell_length_c 5.1116
_cell_angle_alpha 67.07
_cell_angle_beta 73.15
_cell_angle_gamma 89.92
loop_
_symmetry_equiv_pos_as_xyz
'x,y,z'
loop_
_atom_site_label
_atom_site_type_symbol
_atom_site_fract_x
_atom_site_fract_y
_atom_site_fract_z
Cd1 Cd 0.0000 0.0000 0.0000
Ag1 Ag 0.6637 0.6651 0.6721
As1 As 0.3254 0.3287 0.3495
```

Output
**Crystal system**: triclinic
**Calculated volume**: 18.78 Å³ per atom
**Energy of formation**: 0.125 eV per atom
**Energy**: -27.199 eV per atom

(5)
YAs2RuBr: PBEsol geometry, meta-GGA SCAN.

Structure (CIF):
```
data_YAs2RuBr
_chemical_formula_sum 'Y1 As2 Ru1 Br1'
_symmetry_space_group_name_H-M 'P 4/m m m'
_symmetry_Int_Tables_number 123
_symmetry_space_group_name_Hall '-P 4 2'
_cell_length_a 5.3537
_cell_length_b 5.3537
_cell_length_c 5.2397
_cell_angle_alpha 90.00
_cell_angle_beta 90.00
_cell_angle_gamma 90.00
loop_
_atom_site_label
_atom_site_type_symbol
_atom_site_fract_x
_atom_site_fract_y
_atom_site_fract_z
Y1 Y 0.0000 0.0000 0.0000
As1 As 0.0000 0.5000 0.0000
Ru1 Ru 0.5000 0.5000 0.5000
Br1 Br 0.0000 0.0000 0.5000
```

Output
**Crystal system**: tetragonal
**Calculated volume**: 30.04 Å³ per atom
**E_form (uncorrected)**: 0.739 eV/atom
**Energy**: -23.763 eV per atom

(6)
TaBeIn2: PBEsol geometry, meta-GGA SCAN.

Structure (CIF):
```
data_TaBeIn2
_chemical_formula_sum 'Ta2 Be2 In4'
_symmetry_space_group_name_H-M 'I -4 m 2'
_symmetry_Int_Tables_number 119
_symmetry_space_group_name_Hall 'I -4 -2'
_cell_length_a 3.9300
_cell_length_b 3.9300
_cell_length_c 9.0904
_cell_angle_alpha 90.00
_cell_angle_beta 90.00
_cell_angle_gamma 90.00
loop_
_atom_site_label
_atom_site_type_symbol
_atom_site_fract_x
_atom_site_fract_y
_atom_site_fract_z
Ta1 Ta 0.0000 0.0000 0.0000
Be1 Be 0.0000 0.5000 0.2500
In1 In 0.0000 0.0000 0.5000
In2 In 0.0000 0.5000 0.7500
```

Output
**Crystal system**: tetragonal
**Calculated volume**: 17.55 Å³ per atom
**Energy of formation**: 0.306 eV per atom
**Energy**: -34.122 eV per atom

(7)
Sr2LiCl: PBEsol geometry, meta-GGA SCAN.

Structure (CIF):
```
data_Sr2LiCl
_chemical_formula_sum 'Sr4 Li2 Cl2'
_symmetry_space_group_name_H-M 'C m m m'
_symmetry_Int_Tables_number 65
_symmetry_space_group_name_Hall '-C 2 2'
_cell_length_a 4.3222
_cell_length_b 6.4859
_cell_length_c 9.7353
_cell_angle_alpha 90.00
_cell_angle_beta 90.00
_cell_angle_gamma 90.00
loop_
_atom_site_label
_atom_site_type_symbol
_atom_site_fract_x
_atom_site_fract_y
_atom_site_fract_z
Sr1 Sr 0.0000 0.0000 0.2298
Li1 Li 0.0000 0.5000 0.5000
Cl1 Cl 0.0000 0.5000 0.0000
```

Output
**Crystal system**: orthorhombic
**E above lowest polymorph**: 108 meV per atom
**Calculated volume**: 34.11 Å³ per atom
**E_form (uncorrected)**: -0.780 eV/atom
**Energy**: -14.509 eV per atom

(8)
TaTi2Ni2: PBEsol geometry, meta-GGA SCAN.

Structure (CIF):
```
data_TaTi2Ni2
_chemical_formula_sum 'Ta2 Ti4 Ni4'
_symmetry_space_group_name_H-M 'P 4/m b m'
_symmetry_Int_Tables_number 127
_symmetry_space_group_name_Hall '-P 4 2ab'
_cell_length_a 6.9393
_cell_length_b 6.9393
_cell_length_c 2.9324
_cell_angle_alpha 90.00
_cell_angle_beta 90.00
_cell_angle_gamma 90.00
loop_
_atom_site_label
_atom_site_type_symbol
_atom_site_fract_x
_atom_site_fract_y
_atom_site_fract_z
Ta1 Ta 0.0000 0.0000 0.0000
Ti1 Ti 0.1681 0.3319 0.5000
Ni1 Ni 0.1265 0.6265 0.0000
```

Output
**Crystal system**: tetragonal
**Calculated volume**: 14.12 Å³ per atom
**Energy of formation**: -0.270 eV per atom
**Energy**: -26.468 eV per atom

(9)
ReHSeN2: PBEsol geometry, meta-GGA SCAN.

Structure (CIF):
```
data_ReHSeN2
_chemical_formula_sum 'Re1 H1 Se1 N2'
_symmetry_space_group_name_H-M 'P 4/m m m'
_symmetry_Int_Tables_number 123
_symmetry_space_group_name_Hall '-P 4 2'
_cell_length_a 3.7516
_cell_length_b 3.7516
_cell_length_c 5.1250
_cell_angle_alpha 90.00
_cell_angle_beta 90.00
_cell_angle_gamma 90.00
loop_
_atom_site_label
_atom_site_type_symbol
_atom_site_fract_x
_atom_site_fract_y
_atom_site_fract_z
Re1 Re 0.0000 0.0000 0.0000
H1 H 0.5000 0.5000 0.5000
Se1 Se 0.0000 0.0000 0.5000
N1 N 0.0000 0.5000 0.0000
```

Output
**Crystal system**: tetragonal
**Calculated volume**: 14.43 Å³ per atom
**Energy**: -21.742 eV per atom

(10)
SrTl: PBEsol geometry, meta-GGA SCAN.

Structure (CIF):
```
data_SrTl
_chemical_formula_sum 'Sr1 Tl1'
_symmetry_space_group_name_H-M 'P m -3 m'
_symmetry_Int_Tables_number 221
_symmetry_space_group_name_Hall '-P 4 2 3'
_cell_length_a 4.0128
_cell_length_b 4.0128
_cell_length_c 4.0128
_cell_angle_alpha 90.00
_cell_angle_beta 90.00
_cell_angle_gamma 90.00
loop_
_atom_site_label
_atom_site_type_symbol
_atom_site_fract_x
_atom_site_fract_y
_atom_site_fract_z
Sr1 Sr 0.0000 0.0000 0.0000
Tl1 Tl 0.5000 0.5000 0.5000
```

Output
**Crystal system**: cubic
**Calculated volume**: 32.31 Å³ per atom
**Energy of formation**: -0.619 eV per atom
**Energy**: -47.936 eV per atom

(11)
BAs2SeF: PBEsol geometry, meta-GGA SCAN.

Structure (CIF):
```
data_BAs2SeF
_chemical_formula_sum 'B1 As2 Se1 F1'
_symmetry_space_group_name_H-M 'P 4/m m m'
_symmetry_Int_Tables_number 123
_symmetry_space_group_name_Hall '-P 4 2'
_cell_length_a 4.3131
_cell_length_b 4.3131
_cell_length_c 4.8267
_cell_angle_alpha 90.00
_cell_angle_beta 90.00
_cell_angle_gamma 90.00
loop_
_atom_site_label
_atom_site_type_symbol
_atom_site_fract_x
_atom_site_fract_y
_atom_site_fract_z
B1 B 0.0000 0.0000 0.0000
As1 As 0.0000 0.5000 0.5000
Se1 Se 0.5000 0.5000 0.0000
F1 F 0.5000 0.5000 0.5000
```

Output
**Crystal system**: tetragonal
**Calculated volume**: 17.96 Å³ per atom
**E_form (uncorrected)**: 1.224 eV/atom
**Energy**: -13.062 eV per atom

(12)
ZnInHg: PBEsol geometry, meta-GGA SCAN.

Structure (CIF):
```
data_ZnInHg
_chemical_formula_sum 'Zn4 In4 Hg4'
_symmetry_space_group_name_H-M 'F -4 3 m'
_symmetry_Int_Tables_number 216
_symmetry_space_group_name_Hall 'F -4 2 3'
_cell_length_a 6.4036
_cell_length_b 6.4036
_cell_length_c 6.4036
_cell_angle_alpha 90.00
_cell_angle_beta 90.00
_cell_angle_gamma 90.00
loop_
_atom_site_label
_atom_site_type_symbol
_atom_site_fract_x
_atom_site_fract_y
_atom_site_fract_z
Zn1 Zn 0.0000 0.0000 0.0000
In1 In 0.2500 0.2500 0.2500
Hg1 Hg 0.2500 0.2500 0.7500
```

Output
**Crystal system**: cubic
**E above lowest polymorph**: 0 meV per atom
**Calculated volume**: 21.88 Å³ per atom
**Energy of formation**: 0.041 eV per atom
**Energy**: -38.314 eV per atom